Record 1
# Re2NiPt | Alexandria | PBE-GGA | optimized geometry
data_Re2NiPt
_chemical_formula_sum 'Re2 Ni1 Pt1'
_symmetry_space_group_name_H-M 'P 1'
_symmetry_Int_Tables_number 1
_cell_length_a 3.1759
_cell_length_b 3.1759
_cell_length_c 5.6635
_cell_angle_alpha 90.00
_cell_angle_beta 90.00
_cell_angle_gamma 90.00
loop_
_symmetry_equiv_pos_as_xyz
'x,y,z'
loop_
_atom_site_label
_atom_site_type_symbol
_atom_site_fract_x
_atom_site_fract_y
_atom_site_fract_z
Re1 Re 0.0000 0.0000 0.0000
Re2 Re 0.5000 0.5000 0.2480
Ni1 Ni 0.0000 0.0000 0.4776
Pt1 Pt 0.5000 0.5000 0.7122
# Total energy = -36.5 eV per cell
# Formation enthalpy at 0 K = 65 meV/atom

=====

Record 2
# Mn2AlSb | Alexandria | PBE-GGA | optimized geometry
data_Mn2AlSb
_chemical_formula_sum 'Mn4 Al2 Sb2'
_symmetry_space_group_name_H-M 'P 1'
_symmetry_Int_Tables_number 1
_cell_length_a 9.3747
_cell_length_b 9.3747
_cell_length_c 9.3747
_cell_angle_alpha 155.12
_cell_angle_beta 155.12
_cell_angle_gamma 35.47
loop_
_symmetry_equiv_pos_as_xyz
'x,y,z'
loop_
_atom_site_label
_atom_site_type_symbol
_atom_site_fract_x
_atom_site_fract_y
_atom_site_fract_z
Mn1 Mn 0.1162 0.6250 0.9912
Mn2 Mn 0.3750 0.3662 0.4912
Mn3 Mn 0.6338 0.1250 0.0088
Mn4 Mn 0.8750 0.8838 0.5088
Al1 Al 0.0000 0.0000 0.0000
Al2 Al 0.7500 0.2500 0.5000
Sb1 Sb 0.2500 0.7500 0.5000
Sb2 Sb 0.5000 0.5000 0.0000
# Total energy = -49.2 eV per cell
# Uncorrected formation energy = 39 kJ/mol of atoms

=====

no.,distance to the lowest polymorph of the same formula (meV/atom),magnetization (μB/atom)
1,111,0.0000
2,338,1.5034